An optimized crystal structure of SiSb2Ru, computed with GGA-PBE.

Results
VASP energy   -5.828 eV per atom

Lattice parameters (Å, degrees): 7.2738 4.0172 6.6775 90.00 110.72 90.00
With the nearest neighbours (Å) after each atom.
Space group Cm (No. 8)
Unique sites:
Si: 0.0000 0.0000 0.0000 (multiplicity 2)  3 Ru 2.36-2.39
Sb: 0.0671 0.5000 0.7261 (multiplicity 2)  3 Si 2.87-3.03, 3 Ru 2.92-2.93
Sb: 0.2446 0.5000 0.2733 (multiplicity 2)  3 Si 2.87-3.03, 3 Ru 2.92-2.93
Ru: 0.3287 0.0000 0.9998 (multiplicity 2)  3 Si 2.36-2.39

An optimized crystal structure of Ba2La3Se6, computed with GGA-PBE.

Results
VASP energy   -5.608 eV per atom

Lattice parameters (Å, degrees): 7.6499 13.2286 7.9911 90.00 108.45 90.00
With the nearest neighbours (Å) after each atom.
Space group C2/m (No. 12)
Unique sites:
Ba: 0.0000 0.1676 0.0000 (multiplicity 4)  6 Se 3.30
La: 0.0000 0.0000 0.5000 (multiplicity 2)  6 Se 3.03-3.06
La: 0.0000 0.3360 0.5000 (multiplicity 4)  6 Se 3.04-3.06
Se: 0.2373 0.1688 0.7196 (multiplicity 8)  3 La 3.04-3.06, 2 Ba 3.30
Se: 0.2450 0.5000 0.7235 (multiplicity 4)  3 La 3.03-3.05, 2 Ba 3.30

An optimized crystal structure of MgTcOs, computed with GGA-PBE.

Results
VASP energy   -7.518 eV per atom
Formation enthalpy at 0 K   211.8 meV/atom
Polymorph energy (0 for the lowest one)   0.465 eV per formula unit

Lattice parameters (Å, degrees): 13.4070 4.4096 3.0643 90.00 91.51 90.00
With the nearest neighbours (Å) after each atom.
Space group C2/m (No. 12)
Unique sites:
Mg: 0.0868 0.0000 0.2321 (multiplicity 4)  4 Os 2.65-2.72, 2 Mg 2.70-2.88, 2 Tc 2.72-2.73
Tc: 0.2453 0.5000 0.2449 (multiplicity 4)  2 Os 2.60-2.66, 4 Tc 2.67-2.70, 2 Mg 2.72-2.73
Os: 0.0857 0.5000 0.7102 (multiplicity 4)  2 Tc 2.60-2.66, 1 Os 2.61, 4 Mg 2.65-2.72

An optimized crystal structure of Tl2Sn3Au, computed with GGA-PBE.

Results
VASP energy   -3.389 eV per atom
Formation enthalpy at 0 K   -53.0 meV/atom

Lattice parameters (Å, degrees): 11.5944 4.6609 8.3497 90.00 130.94 90.00
With the nearest neighbours (Å) after each atom.
Space group Cm (No. 8)
Unique sites:
Tl: 0.0000 0.0000 0.0000 (multiplicity 2)  3 Au 3.28-3.46, 4 Sn 3.43-3.46, 2 Tl 3.67
Tl: 0.1758 0.0000 0.7001 (multiplicity 2)  6 Sn 3.36-3.65, 2 Au 3.43, 2 Tl 3.67
Sn: 0.2378 0.5000 0.3941 (multiplicity 2)  1 Au 2.88, 3 Sn 3.03-3.11
Sn: 0.4181 0.0000 0.2655 (multiplicity 2)  2 Au 2.82, 2 Sn 3.05-3.11
Sn: 0.4482 0.0000 0.6570 (multiplicity 2)  1 Au 2.80, 3 Sn 3.03-3.05
Au: 0.2440 0.5000 0.0546 (multiplicity 2)  4 Sn 2.80-2.88

An optimized crystal structure of HfNbHgGe2, computed with GGA-PBE.

Results
VASP energy   -5.352 eV per atom
Formation enthalpy at 0 K   560.2 meV/atom
Polymorph energy (0 for the lowest one)   0.000 eV per formula unit

Lattice parameters (Å, degrees): 5.0264 5.0264 5.1364 90.00 90.00 90.00
With the nearest neighbours (Å) after each atom.
Space group P4/mmm (No. 123)
Unique sites:
Hf: 0.0000 0.0000 0.0000 (multiplicity 1)  2 Nb 2.57
Nb: 0.0000 0.0000 0.5000 (multiplicity 1)  4 Ge 2.51, 2 Hf 2.57
Hg: 0.5000 0.5000 0.0000 (multiplicity 1)  4 Hf 3.55, 8 Ge 3.59
Ge: 0.0000 0.5000 0.5000 (multiplicity 2)  2 Nb 2.51

An optimized crystal structure of LiThAl2Au4, computed with GGA-PBE.

Results
VASP energy   -4.353 eV per atom
Formation enthalpy at 0 K   -612.1 meV/atom

Lattice parameters (Å, degrees): 4.4410 4.4410 26.4992 90.00 90.00 120.00
With the nearest neighbours (Å) after each atom.
Space group R-3m (No. 166, hexagonal axes)
Unique sites:
Li: 0.0000 0.0000 0.0000 (multiplicity 3)  8 Au 2.71-2.72
Th: 0.0000 0.0000 0.5000 (multiplicity 3)  6 Au 3.07
Al: 0.0000 0.0000 0.2641 (multiplicity 6)  7 Au 2.71-2.73
Au: 0.0000 0.0000 0.1026 (multiplicity 6)  3 Al 2.71, 1 Li 2.72
Au: 0.0000 0.0000 0.3668 (multiplicity 6)  3 Li 2.71, 4 Al 2.72-2.73

An optimized crystal structure of ZrAlSi2, computed with GGA-PBE.

Results
VASP energy   -5.758 eV per atom

Lattice parameters (Å, degrees): 2.8806 2.8806 8.1368 90.00 90.00 90.00
With the nearest neighbours (Å) after each atom.
Space group P4mm (No. 99)
Unique sites:
Zr: 0.0000 0.0000 0.0000 (multiplicity 1)  4 Zr 2.88, 4 Si 2.89, 4 Al 3.04
Al: 0.5000 0.5000 0.2766 (multiplicity 1)  4 Si 2.81, 4 Al 2.88, 4 Zr 3.04
Si: 0.0000 0.0000 0.5138 (multiplicity 1)  8 Si 2.79-2.88, 4 Al 2.81
Si: 0.5000 0.5000 0.7483 (multiplicity 1)  8 Si 2.79-2.88, 4 Zr 2.89

An optimized crystal structure of Sc6ZnCu5, computed with GGA-PBE.

Results
VASP energy   -5.269 eV per atom
Formation enthalpy at 0 K   -290.7 meV/atom

Lattice parameters (Å, degrees): 4.6544 13.9234 6.4996 90.00 90.00 90.00
With the nearest neighbours (Å) after each atom.
Space group Cmmm (No. 65)
Unique sites:
Sc: 0.0000 0.0000 0.2453 (multiplicity 4)  6 Cu 2.80-2.82, 2 Zn 2.86
Sc: 0.0000 0.3311 0.2481 (multiplicity 8)  7 Cu 2.81-2.86, 1 Zn 2.87
Zn: 0.0000 0.5000 0.5000 (multiplicity 2)  8 Sc 2.86-2.87
Cu: 0.0000 0.1626 0.5000 (multiplicity 4)  8 Sc 2.80-2.86
Cu: 0.0000 0.1657 0.0000 (multiplicity 4)  8 Sc 2.80-2.83
Cu: 0.0000 0.5000 0.0000 (multiplicity 2)  8 Sc 2.82-2.85

An optimized crystal structure of Pm3Nd8Tm2, computed with GGA-PBE.

Results
VASP energy   -4.509 eV per atom
Formation enthalpy at 0 K   209.7 meV/atom
Polymorph energy (0 for the lowest one)   0.710 eV per formula unit

Lattice parameters (Å, degrees): 20.4118 7.7636 5.8185 90.00 90.02 90.00
With the nearest neighbours (Å) after each atom.
Space group C2/m (No. 12)
Unique sites:
Pm: 0.0000 0.0000 0.0000 (multiplicity 2)  4 Nd 3.17
Pm: 0.0000 0.2877 0.5000 (multiplicity 4)  3 Pm 3.30-3.67, 6 Nd 3.54-3.65
Nd: 0.1081 0.2924 0.0002 (multiplicity 8)  1 Pm 3.17, 1 Nd 3.22, 2 Tm 3.48-3.54
Nd: 0.1344 0.0000 0.4997 (multiplicity 4)  2 Pm 3.54, 2 Tm 3.63, 5 Nd 3.73-3.89
Nd: 0.1748 0.5000 0.5007 (multiplicity 4)  2 Tm 3.38, 4 Nd 3.59-3.60
Tm: 0.2409 0.0000 0.9991 (multiplicity 4)  8 Nd 3.38-3.63

An optimized crystal structure of KTe2Os, computed with GGA-PBE.

Results
VASP energy   -4.522 eV per atom
Polymorph energy (0 for the lowest one)   1.192 eV per formula unit

Lattice parameters (Å, degrees): 3.8584 6.5424 10.1146 90.00 90.00 90.00
With the nearest neighbours (Å) after each atom.
Space group Immm (No. 71)
Unique sites:
K: 0.0000 0.0000 0.0000 (multiplicity 2)  8 Te 3.71-3.83, 4 Os 3.80, 2 K 3.86
Te: 0.0000 0.5000 0.1734 (multiplicity 4)  2 Os 2.61
Os: 0.0000 0.0000 0.5000 (multiplicity 2)  4 Te 2.61

An optimized crystal structure of NaCdN2, computed with GGA-PBE.

Results
VASP energy   -3.398 eV per atom

Lattice parameters (Å, degrees): 3.4892 3.4892 19.6664 90.00 90.00 120.00
With the nearest neighbours (Å) after each atom.
Space group R-3m (No. 166, hexagonal axes)
Unique sites:
Na: 0.0000 0.0000 0.0000 (multiplicity 3)  2 N 2.25
Cd: 0.0000 0.0000 0.5000 (multiplicity 3)  6 N 2.26
N: 0.0000 0.0000 0.1144 (multiplicity 6)  1 Na 2.25, 3 Cd 2.26

An optimized crystal structure of HoCdCo, computed with GGA-PBE.

Results
VASP energy   -4.404 eV per atom
Formation enthalpy at 0 K   -204.4 meV/atom

Lattice parameters (Å, degrees): 12.9328 3.8220 5.0769 90.00 102.31 90.00
With the nearest neighbours (Å) after each atom.
Space group C2/m (No. 12)
Unique sites:
Ho: 0.1399 0.0000 0.3271 (multiplicity 4)  4 Co 2.77-2.87
Cd: 0.0736 0.5000 0.7829 (multiplicity 4)  3 Co 2.72-2.77
Co: 0.2320 0.0000 0.8810 (multiplicity 4)  2 Co 2.26